The following is a GGA-PBE calculation of a geometry-optimized FeNiGe structure, from Alexandria.

The formation energy is -0.1585 eV/atom. For the total magnetic moment, the calculation gives 2.35 μB/f.u.

It has space group P6_3/mmc (No. 194), with a = 4.0789 Å, b = 4.0789 Å, c = 5.0950 Å, α = 90.00°, β = 90.00° and γ = 120.00°. The distinct sites, in fractional coordinates, are Fe at (0.0000, 0.0000, 0.0000), Ni at (0.3333, 0.6667, 0.2500) and Ge at (0.3333, 0.6667, 0.7500).

---

The following is a GGA-PBE calculation of a geometry-optimized Fe3NiGe structure, from Alexandria.

The formation energy is 1.1002 eV/atom. For the total magnetic moment, the calculation gives 8.33 μB/f.u.

It has space group Pm-3m (No. 221), with a = 4.356 Å, b = 4.356 Å, c = 4.356 Å, α = 90.00°, β = 90.00° and γ = 90.00°. The distinct sites, in fractional coordinates, are Fe at (0.000, 0.000, 0.500), Ni at (0.500, 0.500, 0.500) and Ge at (0.000, 0.000, 0.000).

---

The following is a GGA-PBE calculation of a geometry-optimized Fe2Ni6Ge structure, from Alexandria.

The formation energy is -0.1163 eV/atom. For the total magnetic moment, the calculation gives 8.20 μB/f.u.

It has space group C2/m (No. 12), with a = 7.884 Å, b = 3.599 Å, c = 7.548 Å, α = 90.00°, β = 106.85° and γ = 90.00°. The distinct sites, in fractional coordinates, are Fe at (0.180, 0.000, 0.238), Ni at (0.004, 0.500, 0.332), Ni at (0.161, 0.000, 0.891), Ni at (0.164, 0.000, 0.555) and Ge at (0.000, 0.500, 0.000).

---

The following is a GGA-PBE calculation of a geometry-optimized FeNi2Ge4 structure, from Alexandria.

The formation energy is 0.2210 eV/atom. For the total magnetic moment, the calculation gives 0.53 μB/f.u.

It has space group I4/mmm (No. 139), with a = 4.520 Å, b = 4.520 Å, c = 11.537 Å, α = 90.00°, β = 90.00° and γ = 90.00°. The distinct sites, in fractional coordinates, are Fe at (0.000, 0.000, 0.000), Ni at (0.000, 0.000, 0.396), Ge at (0.000, 0.000, 0.199) and Ge at (0.000, 0.500, 0.000).

---

The following is a GGA-PBE calculation of a geometry-optimized FeNi15Ge4 structure, from Alexandria.

The formation energy is -0.2391 eV/atom. For the total magnetic moment, the calculation gives 5.70 μB/f.u.

It has space group P4/mmm (No. 123), with a = 3.574 Å, b = 3.574 Å, c = 17.819 Å, α = 90.00°, β = 90.00° and γ = 90.00°. The distinct sites, in fractional coordinates, are Fe at (0.000, 0.000, 0.000), Ni at (0.000, 0.500, 0.098), Ni at (0.000, 0.500, 0.299), Ni at (0.000, 0.500, 0.500), Ni at (0.500, 0.500, 0.000), Ni at (0.500, 0.500, 0.199), Ni at (0.500, 0.500, 0.400), Ge at (0.000, 0.000, 0.198) and Ge at (0.000, 0.000, 0.400).

---

The following is a GGA-PBE calculation of a geometry-optimized FeNi3Ge structure, from Alexandria.

The formation energy is -0.0163 eV/atom. For the total magnetic moment, the calculation gives 3.53 μB/f.u.

It has space group Cmcm (No. 63), with a = 3.524 Å, b = 9.876 Å, c = 7.375 Å, α = 90.00°, β = 90.00° and γ = 90.00°. The distinct sites, in fractional coordinates, are Fe at (0.000, 0.169, 0.250), Ni at (0.000, 0.156, 0.750), Ni at (0.000, 0.337, 0.505) and Ge at (0.000, 0.000, 0.000).

---

The following is a GGA-PBE calculation of a geometry-optimized FeNi3Ge2 structure, from Alexandria.

The formation energy is -0.1740 eV/atom. For the total magnetic moment, the calculation gives 2.03 μB/f.u.

It has space group Ibam (No. 72), with a = 5.092 Å, b = 12.075 Å, c = 4.945 Å, α = 90.00°, β = 90.00° and γ = 90.00°. The distinct sites, in fractional coordinates, are Fe at (0.000, 0.000, 0.250), Ni at (0.000, 0.500, 0.250), Ni at (0.243, 0.168, 0.000) and Ge at (0.242, 0.362, 0.000).

---

The following is a GGA-PBE calculation of a geometry-optimized FeNi5Ge structure, from Alexandria.

The formation energy is 0.0359 eV/atom. For the total magnetic moment, the calculation gives 3.57 μB/f.u.

It has space group P4/mmm (No. 123), with a = 4.067 Å, b = 4.067 Å, c = 5.209 Å, α = 90.00°, β = 90.00° and γ = 90.00°. The distinct sites, in fractional coordinates, are Fe at (0.000, 0.000, 0.000), Ni at (0.000, 0.000, 0.500), Ni at (0.000, 0.500, 0.242) and Ge at (0.500, 0.500, 0.500).

---

The following is a GGA-PBE calculation of a geometry-optimized Fe3Ni3Ge2 structure, from Alexandria.

The formation energy is -0.0808 eV/atom. For the total magnetic moment, the calculation gives 7.31 μB/f.u.

It has space group R3m (No. 160, hexagonal axes), with a = 4.0525 Å, b = 4.0525 Å, c = 19.8704 Å, α = 90.00°, β = 90.00° and γ = 120.00°. The distinct sites, in fractional coordinates, are Fe at (0.0000, 0.0000, 0.0000), Fe at (0.0000, 0.0000, 0.2480), Fe at (0.0000, 0.0000, 0.4989), Ni at (0.0000, 0.0000, 0.3745), Ni at (0.0000, 0.0000, 0.7500), Ni at (0.0000, 0.0000, 0.8741), Ge at (0.0000, 0.0000, 0.1236) and Ge at (0.0000, 0.0000, 0.6247).

---

The following is a GGA-PBE calculation of a geometry-optimized FeNi3Ge structure, from Alexandria.

The formation energy is -0.1709 eV/atom. For the total magnetic moment, the calculation gives 3.66 μB/f.u.

It has space group P-1 (No. 2), with a = 4.312 Å, b = 4.317 Å, c = 6.849 Å, α = 84.83°, β = 71.71° and γ = 73.58°. The distinct sites, in fractional coordinates, are Fe at (0.145, 0.250, 0.211), Ni at (0.050, 0.750, 0.399), Ni at (0.250, 0.750, 0.001), Ni at (0.447, 0.750, 0.605) and Ge at (0.355, 0.250, 0.790).

---

The following is a GGA-PBE calculation of a geometry-optimized FeNi3Ge structure, from Alexandria.

The formation energy is 0.9414 eV/atom. For the total magnetic moment, the calculation gives 4.69 μB/f.u.

It has space group Pm-3m (No. 221), with a = 4.317 Å, b = 4.317 Å, c = 4.317 Å, α = 90.00°, β = 90.00° and γ = 90.00°. The distinct sites, in fractional coordinates, are Fe at (0.000, 0.000, 0.000), Ni at (0.000, 0.000, 0.500) and Ge at (0.500, 0.500, 0.500).

---

The following is a GGA-PBE calculation of a geometry-optimized Fe4NiGe2 structure, from Alexandria.

The formation energy is -0.0955 eV/atom. For the total magnetic moment, the calculation gives 9.45 μB/f.u.

It has space group R-3m (No. 166, hexagonal axes), with a = 4.0605 Å, b = 4.0605 Å, c = 18.0235 Å, α = 90.00°, β = 90.00° and γ = 120.00°. The distinct sites, in fractional coordinates, are Fe at (0.0000, 0.0000, 0.0712), Fe at (0.0000, 0.0000, 0.3600), Ni at (0.0000, 0.0000, 0.5000) and Ge at (0.0000, 0.0000, 0.2241).